# HoHfMg2, optimized geometry, DFT PBE-GGA
# formation enthalpy at 0 K = 0.11 eV/atom
# E above lowest polymorph = 19.5 meV/atom
data_HoHfMg2
_space_group_name_H-M_alt 'F m -3 m'
_space_group_IT_number 225
_space_group_name_Hall '-F 4 2 3'
_cell_length_a 7.247
_cell_length_b 7.247
_cell_length_c 7.247
_cell_angle_alpha 90.00
_cell_angle_beta 90.00
_cell_angle_gamma 90.00
loop_
_atom_site_label
_atom_site_type_symbol
_atom_site_fract_x
_atom_site_fract_y
_atom_site_fract_z
_atom_site_occupancy
Ho1 Ho 0.000 0.000 0.000 1
Hf1 Hf 0.000 0.000 0.500 1
Mg1 Mg 0.250 0.250 0.250 1